(1)
{"formula": "Sm5SbRu2", "functional": "PBE", "state": "relaxed", "e_form_raw_mev_per_atom": -487, "space_group": "I4/mcm, No. 140", "total_energy_ev_per_cell": -100.33, "cell": [[-3.6172, -0.3453, -7.0021], [5.7176, -4.7048, -2.7217], [-4.5726, -2.9649, 6.9523]], "species": ["Sm", "Sm", "Sm", "Sm", "Sm", "Sm", "Sm", "Sm", "Sm", "Sm", "Sb", "Sb", "Ru", "Ru", "Ru", "Ru"], "frac_coords": [[0.5230, 0.7080, 0.7310], [0.7920, 0.9770, 0.2690], [0.0000, 0.0000, 0.0000], [0.5000, 0.5000, 0.0000], [0.2080, 0.0230, 0.7310], [0.7080, 0.2080, 0.7310], [0.0230, 0.5230, 0.7310], [0.2920, 0.7920, 0.2690], [0.9770, 0.4770, 0.2690], [0.4770, 0.2920, 0.2690], [0.7500, 0.7500, 0.5000], [0.2500, 0.2500, 0.5000], [0.1415, 0.3585, 0.0000], [0.6415, 0.1415, 0.0000], [0.3585, 0.8585, 0.0000], [0.8585, 0.6415, 0.0000]]}

(2)
{"formula": "Ba6Sb2P", "functional": "PBE", "state": "relaxed", "e_form_raw_mev_per_atom": -835, "space_group": "P2_1/c, No. 14", "total_energy_ev_per_cell": -65.41, "cell": [[-0.6090, -7.8749, -0.4304], [8.3961, -0.8742, 4.1144], [-5.0363, -0.3624, 10.2003]], "species": ["Ba", "Ba", "Ba", "Ba", "Ba", "Ba", "Ba", "Ba", "Ba", "Ba", "Ba", "Ba", "Sb", "Sb", "Sb", "Sb", "P", "P"], "frac_coords": [[0.1333, 0.0424, 0.2455], [0.1556, 0.3030, 0.5619], [0.1733, 0.3336, 0.9338], [0.3267, 0.8336, 0.5662], [0.3444, 0.8030, 0.9380], [0.3667, 0.5424, 0.2545], [0.8667, 0.9576, 0.7545], [0.8444, 0.6970, 0.4380], [0.8267, 0.6664, 0.0662], [0.6733, 0.1664, 0.4338], [0.6556, 0.1970, 0.0620], [0.6333, 0.4576, 0.7455], [0.0550, 0.6124, 0.7448], [0.4450, 0.1124, 0.7552], [0.5550, 0.8876, 0.2448], [0.9450, 0.3876, 0.2552], [0.5000, 0.5000, 0.0000], [0.0000, 0.0000, 0.5000]]}

(3)
{"formula": "Mg3ZrRh", "functional": "PBE", "state": "relaxed", "space_group": "Pm-3m, No. 221", "total_energy_ev_per_cell": -19.70, "e_form_ev_per_atom": 0.20, "relative_energy_mev_per_atom": 0, "cell": [[-0.4636, -3.3679, -3.3997], [0.9664, -3.4111, 3.2475], [-4.6869, -0.3703, 1.0059]], "species": ["Mg", "Mg", "Mg", "Rh", "Zr"], "frac_coords": [[0.0000, 0.5000, 0.0000], [0.0000, 0.0000, 0.5000], [0.5000, 0.0000, 0.0000], [0.0000, 0.0000, 0.0000], [0.5000, 0.5000, 0.5000]]}